## ZrFeSi (GGA-PBEsol)

Data for an optimized crystal structure of ZrFeSi.

Summary:
* energy: -8.773 eV/atom
* symmetry: Pnma, No. 62

abc: 3.970 6.403 6.806
angles: 90.00 90.00 90.00
Fractional coordinates of all 12 atoms:
Fe 0.250 0.154 0.436
Si 0.250 0.794 0.394
Si 0.750 0.706 0.894
Fe 0.250 0.654 0.064
Si 0.750 0.206 0.606
Zr 0.250 0.988 0.804
Fe 0.750 0.346 0.936
Zr 0.250 0.488 0.696
Fe 0.750 0.846 0.564
Zr 0.750 0.512 0.304
Si 0.250 0.294 0.106
Zr 0.750 0.012 0.196

=====

## CaWO2 (GGA-PBEsol)

Data for an optimized crystal structure of CaWO2.

Summary:
* energy: -7.477 eV/atom
* symmetry: Fm-3m, No. 225

abc: 3.919 3.919 3.919
angles: 60.00 60.00 60.00
Fractional coordinates of all 4 atoms:
O 0.750 0.750 0.750
O 0.250 0.250 0.250
W 0.500 0.500 0.500
Ca 0.000 0.000 0.000

=====

## RbAlTe2 (GGA-PBEsol)

Data for an optimized crystal structure of RbAlTe2.

Summary:
* energy: -3.764 eV/atom
* symmetry: I-42d, No. 122

abc: 7.265 7.265 7.265
angles: 102.71 112.95 112.95
Fractional coordinates of all 8 atoms:
Rb 0.500 0.750 0.250
Al 0.500 0.250 0.750
Te 0.407 0.875 0.782
Te 0.907 0.532 0.125
Te 0.093 0.218 0.625
Te 0.593 0.375 0.468
Rb 0.000 0.000 0.000
Al 0.000 0.500 0.500

=====

## Cs2AuF (GGA-PBEsol)

Data for an optimized crystal structure of Cs2AuF.

Summary:
* symmetry: I-42d, No. 122
* excess energy over the best structure of this formula in the dataset: 0.00 eV per formula unit

abc: 7.326 7.326 7.326
angles: 105.50 111.49 111.49
Fractional coordinates of all 8 atoms:
Au 0.000 0.000 0.000
Cs 0.569 0.375 0.444
F 0.500 0.250 0.750
Au 0.500 0.750 0.250
Cs 0.069 0.194 0.625
F 0.000 0.500 0.500
Cs 0.431 0.875 0.806
Cs 0.931 0.556 0.125

=====

## MnZnSi2O6 (GGA-PBEsol)

Data for an optimized crystal structure of MnZnSi2O6.

Summary:
* symmetry: C2/c, No. 15
* excess energy over the best structure of this formula in the dataset: 0.00 eV per formula unit

abc: 5.362 6.798 6.798
angles: 87.42 74.77 74.77
Site moments in Bohr magnetons follow the coordinates.
Fractional coordinates of all 20 atoms:
O 0.038 0.618 0.668  0.01
O 0.618 0.618 0.147  0.04
Zn 0.250 0.768 0.232  0.01
Mn 0.750 0.892 0.108  4.49
O 0.882 0.853 0.382  0.04
Mn 0.250 0.108 0.892  4.49
Si 0.221 0.222 0.388  0.01
O 0.657 0.960 0.789  0.05
Zn 0.750 0.232 0.768  0.01
Si 0.721 0.388 0.222  0.01
Si 0.779 0.778 0.612  0.01
O 0.343 0.040 0.211  0.05
Si 0.279 0.612 0.778  0.01
O 0.538 0.668 0.618  0.01
O 0.382 0.382 0.853  0.04
O 0.118 0.147 0.618  0.04
O 0.462 0.332 0.382  0.01
O 0.157 0.789 0.960  0.05
O 0.962 0.382 0.332  0.01
O 0.843 0.211 0.040  0.05

=====

## TlAu2 (GGA-PBEsol)

Data for an optimized crystal structure of TlAu2.

Summary:
* ΔH_f (0 K): 297 meV per atom
* symmetry: Fm-3m, No. 225
* excess energy over the best structure of this formula in the dataset: 0.84 eV per formula unit

abc: 4.563 4.563 4.563
angles: 60.00 60.00 60.00
Fractional coordinates of all 3 atoms:
Au 0.750 0.750 0.750
Au 0.250 0.250 0.250
Tl 0.000 0.000 0.000

=====

## InWAu2 (GGA-PBEsol)

Data for an optimized crystal structure of InWAu2.

Summary:
* ΔH_f (0 K): 431 meV per atom
* symmetry: Pmmm, No. 47

abc: 2.943 4.856 4.894
angles: 90.00 90.00 90.00
Fractional coordinates of all 4 atoms:
Au 0.000 0.000 0.000
In 0.500 0.000 0.500
Au 0.500 0.500 0.000
W 0.000 0.500 0.500

=====

## NaScCuS3 (GGA-PBEsol)

Data for an optimized crystal structure of NaScCuS3.

Summary:
* energy: -5.425 eV/atom
* symmetry: Cmcm, No. 63

abc: 3.612 6.686 9.680
angles: 90.00 90.00 105.67
Fractional coordinates of all 12 atoms:
Sc 0.000 0.000 0.000
Na 0.246 0.491 0.750
Cu 0.472 0.944 0.250
S 0.368 0.737 0.436
S 0.632 0.263 0.936
S 0.079 0.157 0.250
Sc 0.000 0.000 0.500
S 0.368 0.737 0.064
S 0.921 0.843 0.750
Cu 0.528 0.056 0.750
S 0.632 0.263 0.564
Na 0.754 0.509 0.250

=====

## Eu (GGA-PBEsol)

Data for an optimized crystal structure of Eu.

Summary:
* ΔH_f (0 K): 23 meV per atom
* symmetry: Im-3m, No. 229
* excess energy over the best structure of this formula in the dataset: 0.02 eV per formula unit

abc: 3.678 3.678 3.678
angles: 109.47 109.47 109.47
Site moments in Bohr magnetons follow the coordinates.
Fractional coordinates of all 1 atoms:
Eu 0.000 0.000 0.000  6.96

=====

## BaMg2Si2 (GGA-PBEsol)

Data for an optimized crystal structure of BaMg2Si2.

Summary:
* energy: -3.781 eV/atom
* symmetry: I4/mmm, No. 139

abc: 4.614 4.614 6.383
angles: 111.19 111.19 90.00
Fractional coordinates of all 5 atoms:
Mg 0.250 0.750 0.500
Ba 0.000 0.000 0.000
Mg 0.750 0.250 0.500
Si 0.389 0.389 0.777
Si 0.611 0.611 0.223

=====

## ZrInAg2 (GGA-PBEsol)

Data for an optimized crystal structure of ZrInAg2.

Summary:
* ΔH_f (0 K): -99 meV per atom
* symmetry: Pm, No. 6

abc: 2.926 4.471 6.024
angles: 90.00 104.26 90.00
Fractional coordinates of all 4 atoms:
In 0.689 0.000 0.503
Zr 0.311 0.500 0.744
Ag 0.947 0.000 0.020
Ag 0.553 0.500 0.233

=====

## ScTe2Pt (GGA-PBEsol)

Data for an optimized crystal structure of ScTe2Pt.

Summary:
* energy: -5.844 eV/atom
* symmetry: Imm2, No. 44

abc: 3.681 3.938 7.082
angles: 106.14 105.06 90.00
Fractional coordinates of all 4 atoms:
Pt 0.510 0.510 0.020
Te 0.782 0.282 0.564
Te 0.022 0.022 0.044
Sc 0.186 0.686 0.372

=====

> Number 4 is which compound?

Cs2AuF

=====

Copy entry 5 word for word.
## MnZnSi2O6 (GGA-PBEsol)

Data for an optimized crystal structure of MnZnSi2O6.

Summary:
* symmetry: C2/c, No. 15
* excess energy over the best structure of this formula in the dataset: 0.00 eV per formula unit

abc: 5.362 6.798 6.798
angles: 87.42 74.77 74.77
Site moments in Bohr magnetons follow the coordinates.
Fractional coordinates of all 20 atoms:
O 0.038 0.618 0.668  0.01
O 0.618 0.618 0.147  0.04
Zn 0.250 0.768 0.232  0.01
Mn 0.750 0.892 0.108  4.49
O 0.882 0.853 0.382  0.04
Mn 0.250 0.108 0.892  4.49
Si 0.221 0.222 0.388  0.01
O 0.657 0.960 0.789  0.05
Zn 0.750 0.232 0.768  0.01
Si 0.721 0.388 0.222  0.01
Si 0.779 0.778 0.612  0.01
O 0.343 0.040 0.211  0.05
Si 0.279 0.612 0.778  0.01
O 0.538 0.668 0.618  0.01
O 0.382 0.382 0.853  0.04
O 0.118 0.147 0.618  0.04
O 0.462 0.332 0.382  0.01
O 0.157 0.789 0.960  0.05
O 0.962 0.382 0.332  0.01
O 0.843 0.211 0.040  0.05